Entry from the Alexandria database: a relaxed structure of Ta2ZnIr (PBE).

a b c (Å): 3.012 3.641 5.956
angles (deg): 90.00 90.00 90.00
Element x y z (fractional)
Zn1 0.000 0.000 0.511
Ir1 0.500 0.500 0.737
Ta1 0.500 0.500 0.267
Ta2 0.000 0.000 0.985

Properties
Magnetic moment = 0.00 μB/f.u.
Uncorrected energy = -34.7 eV for the cell shown
Symmetry = Pmm2, No. 25
DOS(E_F) = 2.8 states/eV per cell